## Sr2V2O (PBE with a Hubbard U)

Data for a relaxed Sr2V2O crystal.

Computed properties:
calculated density: 4.32 g/cm3
space-group type: No. 139
ΔE to the lowest computed polymorph: 0 meV/atom

Structure (extended XYZ):
```
5
Lattice="3.5399 0.0000 0.0000 0.0000 3.5399 0.0000 1.7699 1.7699 8.9914" Properties=species:S:1:pos:R:3 pbc="T T T"
Sr 1.7699 1.7699 1.5330
Sr 3.5399 3.5399 7.4584
O 0.0000 0.0000 0.0000
V 3.5399 1.7699 4.4957
V 1.7699 3.5399 4.4957
```